The following is a GGA-PBE calculation of a relaxed structure of TaCdI2, from Alexandria via LeMat-Bulk.

Values from the calculation:
- Volume: 36.05 A^3/atom
- ΔE to the lowest computed polymorph: 0.000 eV per atom
- Energy relative to the elements, uncorrected: 361 meV per atom
- DOS(E_F): 4.36 states/eV/cell
- Symmetry: I-42d
- Total energy: -28.8 eV/cell

a b c (Å): 9.924 9.924 7.604
angles (deg): 49.27 49.27 90.00
Site moments in Bohr magnetons follow the coordinates.
Positions (direct):
I1 0.764 0.125 0.250  -0.01
I2 0.986 0.625 0.250  -0.01
I3 0.375 0.236 0.750  -0.01
I4 0.875 0.014 0.750  -0.01
Cd1 0.500 0.500 0.000  0.01
Cd2 0.250 0.750 0.500  0.01
Ta1 0.000 0.000 0.000  1.23
Ta2 0.750 0.250 0.500  1.23

***

The following is a GGA-PBE calculation of a relaxed structure of Ce2LuZn, from Alexandria via LeMat-Bulk.

Values from the calculation:
- Volume: 26.46 A^3/atom
- Formation energy: 101 meV per atom
- ΔE to the lowest computed polymorph: 0.121 eV per atom
- DOS(E_F): 12.14 states/eV/cell
- Symmetry: Fm-3m
- Total energy: -17.3 eV/cell

a b c (Å): 5.310 5.310 5.310
angles (deg): 60.00 60.00 60.00
Site moments in Bohr magnetons follow the coordinates.
Positions (direct):
Zn1 0.000 0.000 0.000  -0.01
Lu1 0.500 0.500 0.500  0.27
Ce1 0.250 0.250 0.250  0.79
Ce2 0.750 0.750 0.750  0.79

***

The following is a GGA-PBE calculation of a relaxed structure of SrTb2Rh, from Alexandria via LeMat-Bulk.

Values from the calculation:
- Volume: 37.39 A^3/atom
- Formation energy: -262 meV per atom
- ΔE to the lowest computed polymorph: 0.126 eV per atom
- DOS(E_F): 4.18 states/eV/cell
- Symmetry: R-3m
- Total energy: -19.3 eV/cell

a b c (Å): 3.996 3.996 11.059
angles (deg): 79.59 79.59 60.00
Positions (direct):
Rh1 0.500 0.500 0.500
Tb1 0.121 0.121 0.638
Tb2 0.879 0.879 0.362
Sr1 0.000 0.000 0.000

***

The following is a GGA-PBE calculation of a relaxed structure of GdHoTiIn, from Alexandria via LeMat-Bulk.

Values from the calculation:
- Volume: 25.81 A^3/atom
- Formation energy: -96 meV per atom
- DOS(E_F): 5.16 states/eV/cell
- Symmetry: F-43m
- Total energy: -29.7 eV/cell

a b c (Å): 5.266 5.266 5.266
angles (deg): 60.00 60.00 60.00
Site moments in Bohr magnetons follow the coordinates.
Positions (direct):
Gd1 0.500 0.500 0.500  7.28
Ti1 0.250 0.250 0.250  1.59
Ho1 0.000 0.000 0.000  0.30
In1 0.750 0.750 0.750  -0.05